# CaYAl2

A geometry-optimized CaYAl2 structure (PBE, Alexandria via LeMat-Bulk).

Geometry as CIF:
```
data_CaYAl2
_chemical_formula_sum 'Ca1 Y1 Al2'
_space_group_name_H-M_alt 'P 1'
_space_group_IT_number 1
_cell_length_a 5.204
_cell_length_b 5.204
_cell_length_c 6.465
_cell_angle_alpha 79.57
_cell_angle_beta 79.57
_cell_angle_gamma 39.70
loop_
_space_group_symop_operation_xyz
'x,y,z'
loop_
_atom_site_label
_atom_site_type_symbol
_atom_site_fract_x
_atom_site_fract_y
_atom_site_fract_z
Ca1 Ca 0.750 0.750 0.750
Al1 Al 0.501 0.501 0.456
Al2 Al 0.999 0.999 0.044
Y1 Y 0.250 0.250 0.250
```

Output
The calculation puts the formation energy at -0.05 eV/atom. As for the magnetization: 0.0 μB/f.u. Its density of states at the Fermi level is 2.7 states/eV/f.u.

***

# CaYAl2

A geometry-optimized CaYAl2 structure (PBE, Alexandria via LeMat-Bulk).

Geometry as CIF:
```
data_CaYAl2
_chemical_formula_sum 'Ca1 Y1 Al2'
_space_group_name_H-M_alt 'P 1'
_space_group_IT_number 1
_cell_length_a 5.160
_cell_length_b 5.160
_cell_length_c 5.160
_cell_angle_alpha 60.00
_cell_angle_beta 60.00
_cell_angle_gamma 60.00
loop_
_space_group_symop_operation_xyz
'x,y,z'
loop_
_atom_site_label
_atom_site_type_symbol
_atom_site_fract_x
_atom_site_fract_y
_atom_site_fract_z
Y1 Y 0.750 0.750 0.750
Al1 Al 0.250 0.250 0.250
Al2 Al 0.000 0.000 0.000
Ca1 Ca 0.500 0.500 0.500
```

Output
The calculation puts the formation energy at 0.10 eV/atom. As for the magnetization: 0.0 μB/f.u. Its density of states at the Fermi level is 4.1 states/eV/f.u.

***

# CaY2Al

A geometry-optimized CaY2Al structure (PBE, Alexandria via LeMat-Bulk).

Geometry as CIF:
```
data_CaY2Al
_chemical_formula_sum 'Ca1 Y2 Al1'
_space_group_name_H-M_alt 'P 1'
_space_group_IT_number 1
_cell_length_a 4.905
_cell_length_b 4.904
_cell_length_c 4.703
_cell_angle_alpha 90.00
_cell_angle_beta 90.00
_cell_angle_gamma 90.00
loop_
_space_group_symop_operation_xyz
'x,y,z'
loop_
_atom_site_label
_atom_site_type_symbol
_atom_site_fract_x
_atom_site_fract_y
_atom_site_fract_z
Y1 Y 0.500 0.500 0.000
Y2 Y 0.000 0.000 0.000
Ca1 Ca 0.000 0.500 0.500
Al1 Al 0.500 0.000 0.500
```

Output
The calculation puts the formation energy at -0.10 eV/atom. As for the magnetization: 0.0 μB/f.u. Its density of states at the Fermi level is 4.0 states/eV/f.u.

***

# CaY2Al

A geometry-optimized CaY2Al structure (PBE, Alexandria via LeMat-Bulk).

Geometry as CIF:
```
data_CaY2Al
_chemical_formula_sum 'Ca1 Y2 Al1'
_space_group_name_H-M_alt 'P 1'
_space_group_IT_number 1
_cell_length_a 6.038
_cell_length_b 6.038
_cell_length_c 6.038
_cell_angle_alpha 133.66
_cell_angle_beta 133.66
_cell_angle_gamma 67.62
loop_
_space_group_symop_operation_xyz
'x,y,z'
loop_
_atom_site_label
_atom_site_type_symbol
_atom_site_fract_x
_atom_site_fract_y
_atom_site_fract_z
Y1 Y 0.250 0.750 0.500
Y2 Y 0.000 0.000 0.000
Al1 Al 0.500 0.500 0.000
Ca1 Ca 0.750 0.250 0.500
```

Output
The calculation puts the formation energy at -0.04 eV/atom. As for the magnetization: 0.0 μB/f.u. Its density of states at the Fermi level is 4.2 states/eV/f.u.

***

# CaYAl2

A geometry-optimized CaYAl2 structure (PBE, Alexandria via LeMat-Bulk).

Geometry as CIF:
```
data_CaYAl2
_chemical_formula_sum 'Ca1 Y1 Al2'
_space_group_name_H-M_alt 'P 1'
_space_group_IT_number 1
_cell_length_a 3.398
_cell_length_b 4.304
_cell_length_c 6.770
_cell_angle_alpha 90.00
_cell_angle_beta 90.00
_cell_angle_gamma 90.00
loop_
_space_group_symop_operation_xyz
'x,y,z'
loop_
_atom_site_label
_atom_site_type_symbol
_atom_site_fract_x
_atom_site_fract_y
_atom_site_fract_z
Al1 Al 0.000 0.000 0.532
Y1 Y 0.500 0.500 0.750
Al2 Al 0.000 0.000 0.968
Ca1 Ca 0.500 0.500 0.250
```

Output
The calculation puts the formation energy at -0.29 eV/atom. As for the magnetization: 0.0 μB/f.u. Its density of states at the Fermi level is 1.1 states/eV/f.u.

***

# CaY2Al

A geometry-optimized CaY2Al structure (PBE, Alexandria via LeMat-Bulk).

Geometry as CIF:
```
data_CaY2Al
_chemical_formula_sum 'Ca1 Y2 Al1'
_space_group_name_H-M_alt 'P 1'
_space_group_IT_number 1
_cell_length_a 3.534
_cell_length_b 4.765
_cell_length_c 6.900
_cell_angle_alpha 90.00
_cell_angle_beta 90.00
_cell_angle_gamma 90.00
loop_
_space_group_symop_operation_xyz
'x,y,z'
loop_
_atom_site_label
_atom_site_type_symbol
_atom_site_fract_x
_atom_site_fract_y
_atom_site_fract_z
Al1 Al 0.000 0.000 0.483
Ca1 Ca 0.500 0.500 0.732
Y1 Y 0.000 0.000 0.017
Y2 Y 0.500 0.500 0.268
```

Output
The calculation puts the formation energy at -0.05 eV/atom. As for the magnetization: 0.0 μB/f.u. Its density of states at the Fermi level is 3.9 states/eV/f.u.